# 1
Crystalline BaAlHg2 at its relaxed geometry. Source: the Alexandria database, functional PBE.

Lattice parameters (Å, degrees): 3.8371 3.8371 7.7662 90.00 90.00 90.00
With the nearest neighbours (Å) after each atom.
Sites, in units of the cell vectors:
Al1 0.0000 0.0000 0.4243  5 Hg 2.92-2.98
Hg1 0.0000 0.0000 0.0409  1 Al 2.98, 4 Hg 3.31
Hg2 0.5000 0.5000 0.2851  4 Al 2.92
Ba1 0.5000 0.5000 0.7497  5 Hg 3.53-3.61, 4 Al 3.71, 4 Ba 3.84

Output
total magnetization: 0.00 Bohr magnetons per cell
energy relative to the elements: -151 meV per atom

***

# 2
Crystalline Ac2Zn2Br at its relaxed geometry. Source: the Alexandria database, functional PBE.

Lattice parameters (Å, degrees): 4.5613 4.5613 8.5492 90.01 105.37 120.19
With the nearest neighbours (Å) after each atom.
Sites, in units of the cell vectors:
Ac1 0.8370 0.4180 0.2550  6 Zn 3.27-3.34, 3 Br 3.35
Ac2 0.1630 0.5820 0.7450  6 Zn 3.27-3.34, 3 Br 3.35
Zn1 0.3378 0.1692 0.5070  3 Zn 2.63-2.64
Zn2 0.6622 0.8308 0.4930  3 Zn 2.63-2.64
Br1 0.0000 0.0000 0.0000  6 Ac 3.35

Output
total magnetization: 0.00 Bohr magnetons per cell
uncorrected formation energy: -0.729 eV per atom